Co3TcSe (PBE, optimized geometry); SG = Pm-3m (221); size of the total moment = 1.7 μB/f.u.; energy relative to the elements, uncorrected = 1.464 eV/atom; volume = 17.35 Å³/atom; excess energy over the best structure of this formula in the dataset = 492 meV per atom
1.0
4.427 0.000 0.000
0.000 4.427 0.000
0.000 0.000 4.427
Co Tc Se
3 1 1
Direct
0.000 0.000 0.500
0.000 0.500 0.000
0.500 0.000 0.000
0.000 0.000 0.000
0.500 0.500 0.500